The following is a PBE calculation of TaCo after structural relaxation, from Alexandria via LeMat-Bulk.

Cell and atoms, written as CIF:
```
data_TaCo
_space_group_name_H-M_alt 'R -3 m'
_space_group_IT_number 166
_space_group_name_Hall '-R 3 2"'
_cell_length_a 2.8056
_cell_length_b 2.8056
_cell_length_c 26.4552
_cell_angle_alpha 90.00
_cell_angle_beta 90.00
_cell_angle_gamma 120.00
loop_
_atom_site_label
_atom_site_type_symbol
_atom_site_fract_x
_atom_site_fract_y
_atom_site_fract_z
Ta1 Ta 0.0000 0.0000 0.1171
Co1 Co 0.0000 0.0000 0.3681
```

The following is a PBE calculation of AcLaBiTe after structural relaxation, from Alexandria via LeMat-Bulk.

Cell and atoms, written as CIF:
```
data_AcLaBiTe
_space_group_name_H-M_alt 'F -4 3 m'
_space_group_IT_number 216
_space_group_name_Hall 'F -4 2 3'
_cell_length_a 8.128
_cell_length_b 8.128
_cell_length_c 8.128
_cell_angle_alpha 90.00
_cell_angle_beta 90.00
_cell_angle_gamma 90.00
loop_
_atom_site_label
_atom_site_type_symbol
_atom_site_fract_x
_atom_site_fract_y
_atom_site_fract_z
Ac1 Ac 0.000 0.000 0.000
La1 La 0.000 0.000 0.500
Bi1 Bi 0.250 0.250 0.750
Te1 Te 0.250 0.250 0.250
```

Properties
The value obtained for the formation energy without anion corrections is -4.5 eV/f.u.

The following is a PBE calculation of DyTm2ThBi4 after structural relaxation, from Alexandria via LeMat-Bulk.

Cell and atoms, written as CIF:
```
data_DyTm2ThBi4
_space_group_name_H-M_alt 'P 1 2/m 1'
_space_group_IT_number 10
_space_group_name_Hall '-P 2y'
_cell_length_a 7.760
_cell_length_b 4.496
_cell_length_c 7.770
_cell_angle_alpha 90.00
_cell_angle_beta 109.50
_cell_angle_gamma 90.00
loop_
_atom_site_label
_atom_site_type_symbol
_atom_site_fract_x
_atom_site_fract_y
_atom_site_fract_z
Dy1 Dy 0.000 0.000 0.000
Tm1 Tm 0.500 0.000 0.500
Tm2 Tm 0.500 0.500 0.000
Th1 Th 0.000 0.500 0.500
Bi1 Bi 0.256 0.500 0.248
Bi2 Bi 0.260 0.000 0.758
```

Asked for calculated total energy across the records above, the calculation gives -110.5 -82.2 -42.5 eV for the cell shown in order.